VASP calculation (PBE) on an optimized crystal structure of Hf2NbH8. Values from VASP.

```
&SYSTEM
  ibrav = 0, nat = 11, ntyp = 3
/
ATOMIC_SPECIES
Hf 178.49 Hf.upf
Nb 92.91 Nb.upf
H 1.01 H.upf
CELL_PARAMETERS angstrom
-1.5554 2.2084 6.1562
1.5554 -2.2084 6.1562
1.5554 2.2084 -6.1562
ATOMIC_POSITIONS angstrom
Hf 0.0000 0.0000 1.8588
Hf 0.0000 0.0000 10.4536
Nb 0.0000 0.0000 6.1562
H 1.5554 1.2122 -1.6202
H 0.0000 1.0288 0.0000
H 1.5554 0.0000 3.2045
H 1.5554 1.2122 1.6202
H 0.0000 0.9962 4.5360
H 0.0000 2.2084 2.9517
H 0.0000 3.3880 0.0000
H 0.0000 0.9962 7.7764
```

Results
- E: -5.43 eV per atom

***

VASP calculation (PBE) on an optimized crystal structure of CaEr2Sc. Values from VASP.

```
&SYSTEM
  ibrav = 0, nat = 4, ntyp = 3
/
ATOMIC_SPECIES
Ca 40.08 Ca.upf
Er 167.26 Er.upf
Sc 44.96 Sc.upf
CELL_PARAMETERS angstrom
1.7540 1.0126 11.6655
-1.7540 1.0126 11.6655
0.0000 -2.0253 11.6655
ATOMIC_POSITIONS angstrom
Ca 0.0000 0.0000 0.0000
Er 0.0000 0.0000 20.1192
Er 0.0000 0.0000 26.5078
Sc 0.0000 0.0000 5.8058
```

Results
- Polymorph energy (0 for the lowest one): 0.016 eV/atom

***

VASP calculation (PBE) on an optimized crystal structure of AcH2Se. Values from VASP.

```
&SYSTEM
  ibrav = 0, nat = 16, ntyp = 3
/
ATOMIC_SPECIES
Ac 227.00 Ac.upf
H 1.01 H.upf
Se 78.96 Se.upf
CELL_PARAMETERS angstrom
8.5027 0.0000 0.0000
0.0000 6.0842 0.0000
0.0000 0.0000 5.3711
ATOMIC_POSITIONS angstrom
Ac 0.9694 1.5210 1.0777
Ac 3.2820 4.5631 3.7632
Ac 5.2207 1.5210 1.6079
Ac 7.5334 4.5631 4.2934
H 1.1815 3.1574 4.5067
H 1.1815 5.9689 4.5067
H 3.0699 0.1153 1.8212
H 3.0699 2.9268 1.8212
H 5.4329 3.1574 3.5499
H 5.4329 5.9689 3.5499
H 7.3213 0.1153 0.8644
H 7.3213 2.9268 0.8644
Se 0.8214 4.5631 1.6739
Se 3.4299 1.5210 4.3595
Se 5.0728 4.5631 1.0116
Se 7.6813 1.5210 3.6972
```

Results
- Polymorph energy (0 for the lowest one): 0.066 eV/atom

***

Q: Which formula does entry 1 have?
A: Hf2NbH8

***

What did the third record say?
VASP calculation (PBE) on an optimized crystal structure of AcH2Se. Values from VASP.

```
&SYSTEM
  ibrav = 0, nat = 16, ntyp = 3
/
ATOMIC_SPECIES
Ac 227.00 Ac.upf
H 1.01 H.upf
Se 78.96 Se.upf
CELL_PARAMETERS angstrom
8.5027 0.0000 0.0000
0.0000 6.0842 0.0000
0.0000 0.0000 5.3711
ATOMIC_POSITIONS angstrom
Ac 0.9694 1.5210 1.0777
Ac 3.2820 4.5631 3.7632
Ac 5.2207 1.5210 1.6079
Ac 7.5334 4.5631 4.2934
H 1.1815 3.1574 4.5067
H 1.1815 5.9689 4.5067
H 3.0699 0.1153 1.8212
H 3.0699 2.9268 1.8212
H 5.4329 3.1574 3.5499
H 5.4329 5.9689 3.5499
H 7.3213 0.1153 0.8644
H 7.3213 2.9268 0.8644
Se 0.8214 4.5631 1.6739
Se 3.4299 1.5210 4.3595
Se 5.0728 4.5631 1.0116
Se 7.6813 1.5210 3.6972
```

Results
- Polymorph energy (0 for the lowest one): 0.066 eV/atom